# Ho3As2

An optimized crystal structure of Ho3As2 (PBE, the Open Quantum Materials Database).

```
Ho3As2
1.0
4.0898 0.0000 0.0000
-2.0449 3.5419 0.0000
0.0000 0.0000 9.1580
Ho As
3 2
direct
0.0000 0.0000 0.0000
0.3333 0.6667 0.3446
0.6667 0.3333 0.6554
0.3333 0.6667 0.8201
0.6667 0.3333 0.1799
```

Calculated values
total moment: 0.0 μB/cell
symmetry: P-3m1 (164)
electronic total energy: -5.75 eV/atom
density: 8.07 g/cm3

***

# Ho4As3

An optimized crystal structure of Ho4As3 (PBE, the Open Quantum Materials Database).

```
Ho4As3
1.0
2.0256 1.1695 12.9947
-2.0256 1.1695 12.9947
0.0000 -2.3390 12.9947
Ho As
4 3
direct
0.1270 0.1270 0.1270
0.2913 0.2913 0.2913
0.7087 0.7087 0.7087
0.8730 0.8730 0.8730
0.0000 0.0000 0.0000
0.4200 0.4200 0.4200
0.5800 0.5800 0.5800
```

Calculated values
total moment: 0.5 μB/cell
symmetry: R-3m (166)
electronic total energy: -5.84 eV/atom
density: 7.95 g/cm3

***

# HoInAs

An optimized crystal structure of HoInAs (PBE, the Open Quantum Materials Database).

```
HoInAs
1.0
0.0000 3.4797 3.4797
3.4797 0.0000 3.4797
3.4797 3.4797 0.0000
Ho In As
1 1 1
direct
0.0000 0.0000 0.0000
0.7500 0.7500 0.7500
0.5000 0.5000 0.5000
```

Calculated values
total moment: 0.0 μB/cell
symmetry: F-43m (216)
electronic total energy: -4.04 eV/atom
density: 6.99 g/cm3

***

# HoInAsO

An optimized crystal structure of HoInAsO (PBE, the Open Quantum Materials Database).

```
HoInAsO
1.0
4.0704 0.0000 0.0000
0.0000 4.0704 0.0000
0.0000 0.0000 9.7738
Ho In As O
2 2 2 2
direct
0.2500 0.2500 0.1034
0.7500 0.7500 0.8966
0.2500 0.7500 0.5000
0.7500 0.2500 0.5000
0.2500 0.2500 0.7219
0.7500 0.7500 0.2781
0.2500 0.7500 0.0000
0.7500 0.2500 0.0000
```

Calculated values
total moment: 0.0 μB/cell
symmetry: P4/nmm (129)
energy relative to the lowest polymorph listed for this composition: 0 meV/atom
density: 7.60 g/cm3

***

# HoInAsO

An optimized crystal structure of HoInAsO (PBE, the Open Quantum Materials Database).

```
HoInAsO
1.0
5.4841 0.0000 0.0000
0.0000 5.9732 0.0000
0.0000 0.0000 5.7688
Ho In As O
2 2 2 2
direct
0.0000 0.1827 0.0000
0.0000 0.8173 0.5000
0.5000 0.2282 0.4015
0.5000 0.7718 0.9015
0.5000 0.2756 0.8923
0.5000 0.7244 0.3923
0.0000 0.1381 0.3594
0.0000 0.8619 0.8594
```

Calculated values
total moment: 0.0 μB/cell
symmetry: Pmc2_1 (26)
energy relative to the lowest polymorph listed for this composition: 100 meV/atom
density: 6.51 g/cm3

***

# HoInAsO

An optimized crystal structure of HoInAsO (PBE, the Open Quantum Materials Database).

```
HoInAsO
1.0
4.0903 0.0000 0.0000
0.0000 7.6404 0.0000
0.0000 0.0000 5.9127
Ho In As O
2 2 2 2
direct
0.0000 0.1867 0.0000
0.0000 0.8133 0.5000
0.5000 0.3947 0.5890
0.5000 0.6053 0.0890
0.0000 0.1852 0.4906
0.0000 0.8148 0.9906
0.5000 0.2919 0.9760
0.5000 0.7081 0.4760
```

Calculated values
total moment: 0.0 μB/cell
symmetry: Pmc2_1 (26)
energy relative to the lowest polymorph listed for this composition: 178 meV/atom
density: 6.66 g/cm3

***

# HoInAsO

An optimized crystal structure of HoInAsO (PBE, the Open Quantum Materials Database).

```
HoInAsO
1.0
4.4410 0.0000 0.0000
0.0000 4.4410 0.0000
0.0000 0.0000 8.3970
Ho In As O
2 2 2 2
direct
0.2500 0.7500 0.0000
0.7500 0.2500 0.0000
0.2500 0.2500 0.4062
0.7500 0.7500 0.5938
0.2500 0.2500 0.7992
0.7500 0.7500 0.2008
0.2500 0.7500 0.5000
0.7500 0.2500 0.5000
```

Calculated values
total moment: 0.0 μB/cell
symmetry: P4/nmm (129)
energy relative to the lowest polymorph listed for this composition: 814 meV/atom
density: 7.43 g/cm3

***

# HoAsIrO

An optimized crystal structure of HoAsIrO (PBE, the Open Quantum Materials Database).

```
HoAsIrO
1.0
5.6811 0.0000 0.0000
0.0000 5.6811 0.0000
0.0000 0.0000 4.5581
Ho As Ir O
2 2 2 2
direct
0.2500 0.7500 0.0000
0.7500 0.2500 0.0000
0.2500 0.2500 0.4981
0.7500 0.7500 0.5019
0.2500 0.2500 0.9980
0.7500 0.7500 0.0020
0.2500 0.7500 0.5000
0.7500 0.2500 0.5000
```

Calculated values
total moment: 0.0 μB/cell
symmetry: P4/nmm (129)
energy relative to the lowest polymorph listed for this composition: 804 meV/atom
density: 10.12 g/cm3

***

# HoAsIrO

An optimized crystal structure of HoAsIrO (PBE, the Open Quantum Materials Database).

```
HoAsIrO
1.0
5.4868 0.0000 0.0000
0.0000 5.4868 0.0000
0.0000 0.0000 4.5947
Ho As Ir O
2 2 2 2
direct
0.2500 0.7500 0.0000
0.7500 0.2500 0.0000
0.2500 0.2500 0.4993
0.7500 0.7500 0.5007
0.2500 0.2500 0.9995
0.7500 0.7500 0.0005
0.2500 0.7500 0.5000
0.7500 0.2500 0.5000
```

Calculated values
total moment: 0.0 μB/cell
symmetry: P4/nmm (129)
energy relative to the lowest polymorph listed for this composition: 845 meV/atom
density: 10.76 g/cm3

***

# HoAsIrO

An optimized crystal structure of HoAsIrO (PBE, the Open Quantum Materials Database).

```
HoAsIrO
1.0
4.0219 0.0000 0.0000
0.0000 4.0219 0.0000
0.0000 0.0000 8.0493
Ho As Ir O
2 2 2 2
direct
0.2500 0.2500 0.1298
0.7500 0.7500 0.8702
0.2500 0.2500 0.6787
0.7500 0.7500 0.3213
0.2500 0.7500 0.5000
0.7500 0.2500 0.5000
0.2500 0.7500 0.0000
0.7500 0.2500 0.0000
```

Calculated values
total moment: 0.0 μB/cell
symmetry: P4/nmm (129)
energy relative to the lowest polymorph listed for this composition: 0 meV/atom
density: 11.43 g/cm3

***

# HoAsIrO

An optimized crystal structure of HoAsIrO (PBE, the Open Quantum Materials Database).

```
HoAsIrO
1.0
4.4568 0.0000 0.0000
0.0000 4.1559 0.0000
0.0000 0.0000 7.1266
Ho As Ir O
2 2 2 2
direct
0.0000 0.2483 0.0000
0.0000 0.7517 0.5000
0.5000 0.2490 0.6712
0.5000 0.7510 0.1712
0.5000 0.2513 0.3362
0.5000 0.7487 0.8362
0.0000 0.2505 0.3343
0.0000 0.7495 0.8343
```

Calculated values
total moment: 0.0 μB/cell
symmetry: Pmc2_1 (26)
energy relative to the lowest polymorph listed for this composition: 572 meV/atom
density: 11.27 g/cm3

***

# HoAsIrO

An optimized crystal structure of HoAsIrO (PBE, the Open Quantum Materials Database).

```
HoAsIrO
1.0
3.3399 0.0000 0.0000
0.0000 7.9420 0.0000
0.0000 0.0000 5.3642
Ho As Ir O
2 2 2 2
direct
0.0000 0.2001 0.0000
0.0000 0.7999 0.5000
0.0000 0.4279 0.5018
0.0000 0.5721 0.0018
0.5000 0.2114 0.4816
0.5000 0.7886 0.9816
0.5000 0.0463 0.9138
0.5000 0.9537 0.4138
```

Calculated values
total moment: 0.0 μB/cell
symmetry: Pmc2_1 (26)
energy relative to the lowest polymorph listed for this composition: 593 meV/atom
density: 10.46 g/cm3

***

# KHoAs

An optimized crystal structure of KHoAs (PBE, the Open Quantum Materials Database).

```
KHoAs
1.0
0.0000 3.5574 3.5574
3.5574 0.0000 3.5574
3.5574 3.5574 0.0000
K Ho As
1 1 1
direct
0.0000 0.0000 0.0000
0.5000 0.5000 0.5000
0.7500 0.7500 0.7500
```

Calculated values
total moment: 0.0 μB/cell
symmetry: F-43m (216)
electronic total energy: -3.80 eV/atom
density: 5.14 g/cm3

***

# KHoAsO

An optimized crystal structure of KHoAsO (PBE, the Open Quantum Materials Database).

```
KHoAsO
1.0
3.4264 0.0000 0.0000
0.0000 7.8093 0.0000
0.0000 0.0000 7.7686
K Ho As O
2 2 2 2
direct
0.0000 0.0505 0.0000
0.0000 0.9495 0.5000
0.5000 0.3671 0.3539
0.5000 0.6329 0.8539
0.5000 0.2946 0.7158
0.5000 0.7054 0.2158
0.0000 0.2347 0.2812
0.0000 0.7653 0.7812
```

Calculated values
total moment: 0.0 μB/cell
symmetry: Pmc2_1 (26)
energy relative to the lowest polymorph listed for this composition: 0 meV/atom
density: 4.71 g/cm3